Entry from Alexandria via LeMat-Bulk: a geometry-optimized Dy4CSeS2 structure (PBE).

```
8
Lattice="3.837 0.000 0.000 0.000 6.698 -0.134 0.000 2.363 6.452" Properties=species:S:1:pos:R:3 pbc="T T T"
Dy 0.000 6.643 4.538
Dy 3.837 2.418 1.780
Dy 1.919 5.513 1.741
Dy 1.919 3.549 4.577
C 0.000 4.531 3.159
Se 1.919 3.349 -0.067
S 0.000 2.363 6.452
S 1.919 1.181 3.226
```

Uncorrected energy in eV/cell: -52.10
Total magnetization in μB/atom: 0.00
Density of states at the Fermi level in states/eV per cell: 2.051
V in Å³/cell: 167.06
ΔE_f (raw) in eV per atom: -1.59

***

Entry from Alexandria via LeMat-Bulk: a geometry-optimized Dy6SiC2S3 structure (PBE).

```
12
Lattice="3.781 0.000 0.000 0.000 7.886 0.241 -1.890 -2.313 8.162" Properties=species:S:1:pos:R:3 pbc="T T T"
Dy 0.000 5.430 5.595
Dy 1.890 3.623 3.021
Dy 1.890 0.144 2.808
Dy 0.000 2.001 0.292
Dy 1.890 3.572 8.111
Dy 0.000 1.950 5.381
Si 1.890 0.000 0.000
C 1.890 3.675 5.532
C 0.000 1.898 2.870
S 1.890 3.943 0.120
S 1.890 -0.220 5.521
S 0.000 5.793 2.882
```

Uncorrected energy in eV/cell: -79.15
Total magnetization in μB/atom: 0.00
Density of states at the Fermi level in states/eV per cell: 0.815
V in Å³/cell: 245.47
ΔE_f (raw) in eV per atom: -1.27